Computed, not measured: a relaxed Ca2Co2O5 crystal at the PBE with a Hubbard U level of DFT.

Cell and atoms, written as CIF:
```
data_Ca2Co2O5
_chemical_formula_sum 'Ca8 Co8 O20'
_cell_length_a 14.904
_cell_length_b 5.567
_cell_length_c 5.317
_cell_angle_alpha 90.00
_cell_angle_beta 90.00
_cell_angle_gamma 90.00
_space_group_name_H-M_alt 'I m a 2'
_space_group_IT_number 46
_space_group_name_Hall 'I 2 -2a'
loop_
_atom_site_label
_atom_site_type_symbol
_atom_site_fract_x
_atom_site_fract_y
_atom_site_fract_z
Ca1 Ca 0.108 0.022 0.000
Co1 Co 0.000 0.000 0.509
Co2 Co 0.250 0.562 0.964
O1 O 0.014 0.747 0.756
O2 O 0.141 0.065 0.529
O3 O 0.250 0.615 0.599
```

Computed properties:
Fermi-level density of states (states/eV/cell): 3.620
Theoretical density (g/cm3): 4.2
Offset from the most stable computed form (eV per formula unit): 0.000